Material: Nd4TmTh3
Method: DFT, PBE
State: optimized geometry

- DOS(E_F) (states/eV/f.u.) = 11.42
- SG = Pmmn, No. 59
- formation enthalpy at 0 K (eV per atom) = 0.03
- uncorrected energy (eV/atom) = -5.693
- density (Mg/m³) = 8.96

Cell lengths 5.0854, 10.3152, 10.1939 Å; angles 90.00, 90.00, 90.00 degrees
Positions (direct):
Th 0.0644 0.3820 0.5000
Th 0.5644 0.3827 0.2520
Th 0.0644 0.6173 0.7520
Th 0.0644 0.6173 0.2480
Th 0.5644 0.3827 0.7480
Th 0.5644 0.6180 0.0000
Nd 0.5644 0.1317 0.0000
Nd 0.0644 0.1349 0.2500
Nd 0.5644 0.8651 0.7500
Nd 0.5644 0.1376 0.5000
Nd 0.0644 0.8683 0.5000
Nd 0.0644 0.1349 0.7500
Nd 0.0644 0.8624 0.0000
Nd 0.5644 0.8651 0.2500
Tm 0.5644 0.6176 0.5000
Tm 0.0644 0.3824 0.0000

---

Material: YSbPI2
Method: DFT, PBE
State: optimized geometry

- formation energy without anion corrections (meV per atom) = 159
- DOS(E_F) (states/eV/f.u.) = 0.47
- SG = P4/mmm, No. 123
- uncorrected energy (eV/atom) = -3.660
- density (Mg/m³) = 3.75

Cell lengths 5.8852, 5.8852, 6.3353 Å; angles 90.00, 90.00, 90.00 degrees
Each line ends with the local moment (μB).
Positions (direct):
I 0.0000 0.5000 0.0000  -0.02
I 0.5000 0.0000 0.0000  -0.02
P 0.5000 0.5000 0.5000  1.04
Sb 0.0000 0.0000 0.5000  -0.52
Y 0.0000 0.0000 0.0000  -0.01

---

Material: Ac2Cu6NiIr
Method: DFT, PBE
State: optimized geometry

- DOS(E_F) (states/eV/f.u.) = 3.56
- SG = C2/m, No. 12
- formation enthalpy at 0 K (eV per atom) = -0.19
- uncorrected energy (eV/atom) = -4.929
- density (Mg/m³) = 9.71

Cell lengths 6.7388, 6.5481, 6.5436 Å; angles 43.69, 84.50, 100.00 degrees
Positions (direct):
Cu 0.2739 0.7672 0.9941
Cu 0.7261 0.2328 0.0059
Cu 0.4152 0.2526 0.8375
Cu 0.7264 0.7320 0.5068
Cu 0.2736 0.2680 0.4932
Cu 0.5848 0.7474 0.1625
Ac 0.8031 0.2600 0.4561
Ac 0.1969 0.7400 0.5438
Ni 0.5000 0.5000 0.0000
Ir 0.0000 0.0000 0.0000

---

Material: Li3Pr3Ga8
Method: DFT, PBE
State: optimized geometry

- DOS(E_F) (states/eV/f.u.) = 3.65
- SG = Immm, No. 71
- formation enthalpy at 0 K (eV per atom) = -0.53
- uncorrected energy (eV/atom) = -3.689
- density (Mg/m³) = 5.86

Cell lengths 4.3758, 8.5414, 8.5414 Å; angles 69.33, 75.16, 75.16 degrees
Positions (direct):
Pr 0.5000 0.5000 0.5000
Pr 0.8007 0.1993 0.1993
Pr 0.1993 0.8007 0.8007
Ga 0.1570 0.4781 0.2079
Ga 0.8430 0.7921 0.5219
Ga 0.1570 0.2079 0.4781
Ga 0.8430 0.5219 0.7921
Ga 0.3578 0.3614 0.9229
Ga 0.6422 0.0771 0.6386
Ga 0.6422 0.6386 0.0771
Ga 0.3578 0.9229 0.3614
Li 0.5000 0.0000 0.0000
Li 0.0000 0.7978 0.2022
Li 0.0000 0.2022 0.7978

---

Material: Er3TeC
Method: DFT, PBE
State: optimized geometry

- formation energy without anion corrections (meV per atom) = -554
- DOS(E_F) (states/eV/f.u.) = 3.27
- SG = C2/m, No. 12
- uncorrected energy (eV/atom) = -5.765
- density (Mg/m³) = 8.22

Cell lengths 4.0032, 8.3949, 8.1678 Å; angles 76.89, 90.00, 103.79 degrees
Each line ends with the local moment (μB).
Positions (direct):
Er 0.9610 0.9220 0.8360  0.07
Er 0.1569 0.3138 0.5564  0.10
Er 0.8431 0.6862 0.4436  0.10
Er 0.6727 0.3453 0.8713  0.01
Er 0.0390 0.0780 0.1640  0.07
Er 0.3273 0.6547 0.1287  0.01
Te 0.6698 0.3396 0.2542  0.01
Te 0.3302 0.6604 0.7458  0.01
C 0.9022 0.8044 0.1349  0.00
C 0.0978 0.1956 0.8651  0.00

---

Material: KCaBeSe2
Method: DFT, PBE
State: optimized geometry

- formation energy without anion corrections (meV per atom) = -896
- DOS(E_F) (states/eV/f.u.) = 1.90
- SG = P2/c, No. 13
- uncorrected energy (eV/atom) = -3.655
- density (Mg/m³) = 2.74

Cell lengths 4.7130, 7.6106, 8.4725 Å; angles 100.82, 90.00, 90.00 degrees
Each line ends with the local moment (μB).
Positions (direct):
Se 0.2646 0.2265 0.0342  0.03
Se 0.7354 0.7735 0.9658  0.03
Se 0.7354 0.2265 0.5342  0.03
Se 0.2646 0.7735 0.4658  0.03
Ca 0.4869 0.0000 0.2500  0.11
Ca 0.5131 0.0000 0.7500  0.11
K 0.2083 0.5000 0.7500  0.01
K 0.7917 0.5000 0.2500  0.01
Be 0.0000 0.0000 0.5000  0.11
Be 0.0000 0.0000 0.0000  0.11

---

Material: LuScBe
Method: DFT, PBE
State: optimized geometry

- DOS(E_F) (states/eV/f.u.) = 2.29
- SG = I4mm, No. 107
- formation enthalpy at 0 K (eV per atom) = 0.03
- uncorrected energy (eV/atom) = -4.831
- density (Mg/m³) = 6.16

Cell lengths 3.2814, 3.2814, 6.1839 Å; angles 105.39, 105.39, 90.00 degrees
Positions (direct):
Be 0.6746 0.6746 0.3493
Lu 0.0259 0.0259 0.0519
Sc 0.2994 0.2994 0.5989

---

Material: ZrCrP2Cl
Method: DFT, PBE
State: optimized geometry

- formation energy without anion corrections (meV per atom) = 187
- DOS(E_F) (states/eV/f.u.) = 4.53
- SG = P4/mmm, No. 123
- uncorrected energy (eV/atom) = -5.981
- density (Mg/m³) = 3.15

Cell lengths 5.0578, 5.0578, 4.9587 Å; angles 90.00, 90.00, 90.00 degrees
Each line ends with the local moment (μB).
Positions (direct):
P 0.5000 0.0000 0.0000  0.13
P 0.0000 0.5000 0.0000  0.13
Cl 0.0000 0.0000 0.5000  0.00
Zr 0.0000 0.0000 0.0000  0.01
Cr 0.5000 0.5000 0.5000  -4.16

---

Material: NaMgZr2Co
Method: DFT, PBE
State: optimized geometry

- DOS(E_F) (states/eV/f.u.) = 5.69
- SG = P4/mmm, No. 123
- formation enthalpy at 0 K (eV per atom) = 0.43
- uncorrected energy (eV/atom) = -4.990
- density (Mg/m³) = 3.95

Cell lengths 4.7778, 5.3224, 4.7778 Å; angles 90.00, 90.00, 90.00 degrees
Positions (direct):
Mg 0.5000 0.5000 0.5000
Na 0.0000 0.5000 0.0000
Zr 0.0000 0.0000 0.5000
Zr 0.5000 0.0000 0.0000
Co 0.0000 0.0000 0.0000

---

Material: BaSnHg6
Method: DFT, PBE
State: optimized geometry

- DOS(E_F) (states/eV/f.u.) = 3.83
- SG = Amm2, No. 38
- formation enthalpy at 0 K (eV per atom) = -0.21
- uncorrected energy (eV/atom) = -1.175
- density (Mg/m³) = 10.44

Cell lengths 5.1417, 6.8193, 6.8193 Å; angles 103.88, 90.00, 90.00 degrees
Positions (direct):
Hg 0.0000 0.4239 0.5761
Hg 0.0000 0.8736 0.1264
Hg 0.0000 0.3555 0.0517
Hg 0.5000 0.5489 0.8417
Hg 0.5000 0.1583 0.4511
Hg 0.0000 0.9483 0.6445
Sn 0.5000 0.0454 0.9546
Ba 0.5000 0.6462 0.3538

---

Material: Tl2CrIn
Method: DFT, PBE
State: optimized geometry

- DOS(E_F) (states/eV/f.u.) = 2.33
- SG = Cm, No. 8
- formation enthalpy at 0 K (eV per atom) = 0.36
- uncorrected energy (eV/atom) = -3.911
- density (Mg/m³) = 9.22

Cell lengths 7.4246, 7.4246, 4.8045 Å; angles 71.19, 71.19, 24.49 degrees
Each line ends with the local moment (μB).
Positions (direct):
Tl 0.9974 0.9974 0.0024  -0.05
Tl 0.1894 0.1894 0.3106  0.00
In 0.8162 0.8162 0.6841  -0.02
Cr 0.4970 0.4970 0.5029  3.44

---

Material: TaInNiC
Method: DFT, PBE
State: optimized geometry

- DOS(E_F) (states/eV/f.u.) = 1.32
- SG = Pm, No. 6
- formation enthalpy at 0 K (eV per atom) = 0.36
- uncorrected energy (eV/atom) = -7.035
- density (Mg/m³) = 11.04

Cell lengths 3.8535, 3.5598, 4.4540 Å; angles 90.00, 115.55, 90.00 degrees
Positions (direct):
In 0.3574 0.0000 0.7168
C 0.7718 0.5000 0.5407
Ni 0.6648 0.0000 0.3315
Ta 0.0378 0.5000 0.0775

---

Material: LiAc3Pd4
Method: DFT, PBE
State: optimized geometry

- DOS(E_F) (states/eV/f.u.) = 3.07
- SG = Immm, No. 71
- formation enthalpy at 0 K (eV per atom) = -0.68
- uncorrected energy (eV/atom) = -5.056
- density (Mg/m³) = 8.61

Cell lengths 4.5156, 5.9252, 8.8483 Å; angles 109.56, 104.78, 90.00 degrees
Positions (direct):
Pd 0.6208 0.3906 0.2416
Pd 0.3792 0.6094 0.7584
Pd 0.6208 0.8510 0.2416
Pd 0.3792 0.1490 0.7584
Ac 0.1982 0.1982 0.3964
Ac 0.0000 0.5000 0.0000
Ac 0.8018 0.8018 0.6036
Li 0.5000 0.0000 0.0000

---

Material: Nd3Sm6Tm2Tl
Method: DFT, PBE
State: optimized geometry

- DOS(E_F) (states/eV/f.u.) = 15.55
- SG = C2/m, No. 12
- formation enthalpy at 0 K (eV per atom) = 0.00
- uncorrected energy (eV/atom) = -4.498
- density (Mg/m³) = 7.97

Cell lengths 6.2499, 6.2499, 11.7661 Å; angles 95.17, 95.17, 120.16 degrees
Positions (direct):
Tm 0.3343 0.6657 0.0000
Tm 0.6657 0.3343 0.0000
Nd 0.5000 0.5000 0.5000
Nd 0.8316 0.1684 0.5000
Nd 0.1684 0.8316 0.5000
Sm 0.7521 0.7521 0.2442
Sm 0.9207 0.5932 0.7582
Sm 0.2479 0.2479 0.7558
Sm 0.4068 0.0793 0.2418
Sm 0.5932 0.9207 0.7582
Sm 0.0793 0.4068 0.2418
Tl 0.0000 0.0000 0.0000

---

Material: Ca2SmRhO6
Method: DFT, PBE
State: optimized geometry

- formation energy without anion corrections (meV per atom) = -2243
- DOS(E_F) (states/eV/f.u.) = 3.89
- SG = P2_1/c, No. 14
- uncorrected energy (eV/atom) = -6.826
- density (Mg/m³) = 5.28

Cell lengths 5.6442, 5.8822, 8.1292 Å; angles 90.00, 91.00, 90.00 degrees
Each line ends with the local moment (μB).
Positions (direct):
O 0.6185 0.0506 0.2714  0.11
O 0.2831 0.6843 0.0589  0.13
O 0.7831 0.8157 0.5589  0.13
O 0.3815 0.9494 0.7286  0.11
O 0.8242 0.7812 0.9317  0.13
O 0.3242 0.7188 0.4317  0.13
O 0.2169 0.1843 0.4411  0.13
O 0.8815 0.5506 0.2286  0.11
O 0.7169 0.3157 0.9411  0.13
O 0.1185 0.4494 0.7714  0.11
O 0.6758 0.2812 0.5683  0.13
O 0.1758 0.2188 0.0683  0.13
Rh 0.0000 0.5000 0.0000  1.07
Rh 0.5000 0.0000 0.5000  1.07
Ca 0.9804 0.0582 0.7488  0.01
Ca 0.5196 0.5582 0.7512  0.01
Ca 0.4804 0.4418 0.2488  0.01
Ca 0.0196 0.9418 0.2512  0.01
Sm 0.0000 0.5000 0.5000  0.00
Sm 0.5000 0.0000 0.0000  0.00

---

Material: SrZnRu2
Method: DFT, PBE
State: optimized geometry

- DOS(E_F) (states/eV/f.u.) = 5.90
- SG = C2/m, No. 12
- formation enthalpy at 0 K (eV per atom) = 0.42
- uncorrected energy (eV/atom) = -4.952
- density (Mg/m³) = 7.52

Cell lengths 4.8397, 4.8397, 5.7278 Å; angles 78.97, 78.97, 36.63 degrees
Each line ends with the local moment (μB).
Positions (direct):
Ru 0.9791 0.9791 0.0860  0.23
Ru 0.5209 0.5209 0.4140  0.23
Sr 0.7500 0.7500 0.7500  0.00
Zn 0.2500 0.2500 0.2500  0.00

---

Material: Ba3TmW2N6
Method: DFT, PBE
State: optimized geometry

- formation energy without anion corrections (meV per atom) = -884
- DOS(E_F) (states/eV/f.u.) = 3.90
- SG = P-3m1, No. 164
- uncorrected energy (eV/atom) = -8.058
- density (Mg/m³) = 6.88

Cell lengths 6.2252, 6.2252, 7.4238 Å; angles 90.00, 90.00, 120.00 degrees
Positions (direct):
N 0.1708 0.8291 0.3026
N 0.1708 0.3417 0.3026
N 0.8292 0.1709 0.6974
N 0.8292 0.6583 0.6974
N 0.3417 0.1709 0.6974
N 0.6583 0.8291 0.3026
W 0.3333 0.6667 0.2258
W 0.6667 0.3333 0.7742
Ba 0.6667 0.3333 0.3190
Ba 0.0000 0.0000 0.0000
Ba 0.3333 0.6667 0.6810
Tm 0.0000 0.0000 0.5000

---

Material: La2Ga3Os
Method: DFT, PBE
State: optimized geometry

- DOS(E_F) (states/eV/f.u.) = 4.06
- SG = R-3m, No. 166
- formation enthalpy at 0 K (eV per atom) = -0.44
- uncorrected energy (eV/atom) = -5.469
- density (Mg/m³) = 9.14

Cell lengths 5.6341, 5.6341, 5.5327 Å; angles 90.05, 120.64, 119.92 degrees
Positions (direct):
La 0.7489 0.3745 0.1235
La 0.2511 0.6255 0.8765
Ga 0.5000 0.5000 0.5000
Ga 0.0000 0.0000 0.5000
Ga 0.5000 0.0000 0.5000
Os 0.0000 0.0000 0.0000

---

Material: Cs4TeSe
Method: DFT, PBE
State: optimized geometry

- formation energy without anion corrections (meV per atom) = -1051
- DOS(E_F) (states/eV/f.u.) = 0.00
- SG = R-3m, No. 166
- uncorrected energy (eV/atom) = -2.725
- density (Mg/m³) = 3.67

Cell lengths 6.1802, 6.1802, 10.7183 Å; angles 73.23, 73.24, 60.00 degrees
Positions (direct):
Te 0.5000 0.5000 0.5000
Se 0.0000 0.0000 0.0000
Cs 0.8792 0.8796 0.3620
Cs 0.1208 0.1204 0.6380
Cs 0.6286 0.6294 0.1135
Cs 0.3714 0.3706 0.8865

---

Material: TbErSe3
Method: DFT, PBE
State: optimized geometry

- formation energy without anion corrections (meV per atom) = -1842
- SG = P2_1/m, No. 11
- uncorrected energy (eV/atom) = -5.772
- density (Mg/m³) = 7.09

Cell lengths 4.0365, 8.0355, 8.1622 Å; angles 94.95, 90.00, 90.00 degrees
Positions (direct):
Tb 0.2500 0.3827 0.2299
Tb 0.7500 0.6173 0.7701
Se 0.2500 0.6817 0.0198
Se 0.7500 0.3183 0.9802
Se 0.2500 0.8940 0.6794
Se 0.2500 0.3781 0.6108
Se 0.7500 0.1060 0.3206
Se 0.7500 0.6219 0.3892
Er 0.7500 0.1448 0.6794
Er 0.2500 0.8552 0.3206

---

Material: CoSiAs2
Method: DFT, PBE
State: optimized geometry

- formation energy without anion corrections (meV per atom) = 451
- DOS(E_F) (states/eV/f.u.) = 2.24
- SG = I-4m2, No. 119
- uncorrected energy (eV/atom) = -5.006
- density (Mg/m³) = 6.47

Cell lengths 4.6469, 4.6469, 4.6469 Å; angles 127.80, 127.80, 76.94 degrees
Positions (direct):
As 0.0000 0.0000 0.0000
As 0.2500 0.7500 0.5000
Co 0.5000 0.5000 0.0000
Si 0.7500 0.2500 0.5000

---

Material: KSr2Pt9
Method: DFT, PBE
State: optimized geometry

- DOS(E_F) (states/eV/f.u.) = 7.82
- SG = R-3m, No. 166
- formation enthalpy at 0 K (eV per atom) = -0.52
- uncorrected energy (eV/atom) = -5.420
- density (Mg/m³) = 13.83

Cell lengths 5.5651, 5.5651, 9.3855 Å; angles 72.75, 72.75, 60.00 degrees
Positions (direct):
Pt 0.6681 0.6681 0.9956
Pt 0.5834 0.5834 0.7526
Pt 0.3319 0.3319 0.0044
Pt 0.9193 0.4166 0.2474
Pt 0.0807 0.5834 0.7526
Pt 0.4166 0.4166 0.2474
Pt 0.5000 0.5000 0.5000
Pt 0.5834 0.0807 0.7526
Pt 0.4166 0.9193 0.2474
Sr 0.8615 0.8615 0.4156
Sr 0.1385 0.1385 0.5844
K 0.0000 0.0000 0.0000

---

Material: KScU2O8
Method: DFT, PBE
State: optimized geometry

- formation energy without anion corrections (meV per atom) = -2985
- DOS(E_F) (states/eV/f.u.) = 0.00
- SG = Cmmm, No. 65
- uncorrected energy (eV/atom) = -8.791
- density (Mg/m³) = 6.36

Cell lengths 5.0455, 5.0464, 7.0632 Å; angles 90.02, 90.02, 87.03 degrees
Positions (direct):
O 0.3364 0.3371 0.5001
O 0.7814 0.2180 0.2124
O 0.3087 0.3092 0.0001
O 0.6913 0.6908 0.9999
O 0.2186 0.7820 0.7876
O 0.2187 0.7822 0.2124
O 0.6636 0.6629 0.4999
O 0.7813 0.2178 0.7876
Sc 0.0000 0.0000 0.0000
K 0.0000 0.0000 0.5000
U 0.5000 0.5000 0.2463
U 0.5000 0.5000 0.7537

---

Material: NdMg2In
Method: DFT, PBE
State: optimized geometry

- DOS(E_F) (states/eV/f.u.) = 2.70
- SG = P4/mmm, No. 123
- formation enthalpy at 0 K (eV per atom) = -0.13
- uncorrected energy (eV/atom) = -2.799
- density (Mg/m³) = 4.85

Cell lengths 3.5776, 3.5776, 8.2264 Å; angles 90.00, 90.00, 90.00 degrees
Positions (direct):
Mg 0.0000 0.0000 0.2167
Mg 0.0000 0.0000 0.7833
Nd 0.5000 0.5000 0.5000
In 0.5000 0.5000 0.0000